No. 1
VASP calculation (SCAN) on CsCdCu2H at its PBEsol-relaxed geometry.

abc: 5.4059 5.4059 3.8400
angles: 90.00 90.00 90.00
Fractional coordinates of all 5 atoms:
Cs 0.0000 0.0000 0.0000
Cd 0.5000 0.5000 0.5000
Cu 0.0000 0.5000 0.0000
Cu 0.5000 0.0000 0.0000
H 0.0000 0.0000 0.5000

Output
Density in g/cm³: 5.5
DFT total energy in Ry/atom: -1.390

No. 2
VASP calculation (SCAN) on CsDyCdSe3 at its PBEsol-relaxed geometry.

abc: 8.1994 8.1994 10.9520
angles: 90.00 90.00 150.26
Fractional coordinates of all 12 atoms:
Cs 0.2451 0.7549 0.7500
Cs 0.7549 0.2451 0.2500
Dy 0.5000 0.5000 0.0000
Dy 0.5000 0.5000 0.5000
Cd 0.0402 0.9598 0.2500
Cd 0.9598 0.0402 0.7500
Se 0.1202 0.8798 0.0441
Se 0.1202 0.8798 0.4559
Se 0.4378 0.5622 0.2500
Se 0.5622 0.4378 0.7500
Se 0.8798 0.1202 0.5441
Se 0.8798 0.1202 0.9559

Output
Density in g/cm³: 5.9
Formation energy (no corrections) in eV/atom: -1.554
DFT total energy in Ry/atom: -2.273

No. 3
VASP calculation (SCAN) on CsErCdTe3 at its PBEsol-relaxed geometry.

abc: 8.6704 8.6704 11.5641
angles: 90.00 90.00 150.45
Fractional coordinates of all 12 atoms:
Cs 0.2489 0.7511 0.7500
Cs 0.7511 0.2489 0.2500
Er 0.0000 0.0000 0.0000
Er 0.0000 0.0000 0.5000
Cd 0.4610 0.5390 0.2500
Cd 0.5390 0.4610 0.7500
Te 0.0664 0.9336 0.2500
Te 0.3769 0.6231 0.0433
Te 0.3769 0.6231 0.4567
Te 0.6231 0.3769 0.5433
Te 0.6231 0.3769 0.9567
Te 0.9336 0.0664 0.7500

Output
Density in g/cm³: 6.2
Formation energy (no corrections) in eV/atom: -1.202
DFT total energy in Ry/atom: -2.910

What did the first record say?
VASP calculation (SCAN) on CsCdCu2H at its PBEsol-relaxed geometry.

abc: 5.4059 5.4059 3.8400
angles: 90.00 90.00 90.00
Fractional coordinates of all 5 atoms:
Cs 0.0000 0.0000 0.0000
Cd 0.5000 0.5000 0.5000
Cu 0.0000 0.5000 0.0000
Cu 0.5000 0.0000 0.0000
H 0.0000 0.0000 0.5000

Output
Density in g/cm³: 5.5
DFT total energy in Ry/atom: -1.390

What did the second record say?
VASP calculation (SCAN) on CsDyCdSe3 at its PBEsol-relaxed geometry.

abc: 8.1994 8.1994 10.9520
angles: 90.00 90.00 150.26
Fractional coordinates of all 12 atoms:
Cs 0.2451 0.7549 0.7500
Cs 0.7549 0.2451 0.2500
Dy 0.5000 0.5000 0.0000
Dy 0.5000 0.5000 0.5000
Cd 0.0402 0.9598 0.2500
Cd 0.9598 0.0402 0.7500
Se 0.1202 0.8798 0.0441
Se 0.1202 0.8798 0.4559
Se 0.4378 0.5622 0.2500
Se 0.5622 0.4378 0.7500
Se 0.8798 0.1202 0.5441
Se 0.8798 0.1202 0.9559

Output
Density in g/cm³: 5.9
Formation energy (no corrections) in eV/atom: -1.554
DFT total energy in Ry/atom: -2.273

- Which of these has the lowest density?
  CsCdCu2H